# 1
Entry from OQMD: Tm2ScZn3AgAu2 after structural relaxation (PBE).

a = 3.7401 Å, b = 12.7580 Å, c = 7.4218 Å
α = 90.00°, β = 90.00°, γ = 90.00°
Closest atoms and distances in Å follow each position.
Space group Amm2 (No. 38)
Inequivalent atoms, fractional coordinates:
Tm  0.0000  0.2027  0.0000 (multiplicity 4)  4 Au 2.94-2.95, 1 Ag 3.01, 6 Zn 3.10-3.25
Sc  0.0000  0.0000  0.6102 (multiplicity 2)  4 Au 2.88, 1 Ag 2.99, 6 Zn 3.08-3.22
Zn  0.5000  0.0000  0.9405 (multiplicity 2)  2 Ag 2.72, 2 Au 2.74
Zn  0.5000  0.1291  0.3359 (multiplicity 4)  2 Ag 2.67, 2 Au 2.74-2.83
Ag  0.0000  0.0000  0.2069 (multiplicity 2)  6 Zn 2.67-2.72
Au  0.5000  0.1631  0.7007 (multiplicity 4)  3 Zn 2.74-2.83, 2 Sc 2.88, 4 Tm 2.94-2.95

ΔH_f (0 K) = -0.5602 eV/atom
Crystal system = orthorhombic

# 2
Entry from OQMD: Tl2HgOsF6 after structural relaxation (PBE).

a = 9.0220 Å, b = 9.0220 Å, c = 9.0220 Å
α = 90.00°, β = 90.00°, γ = 90.00°
Closest atoms and distances in Å follow each position.
Space group Fm-3m (No. 225)
Inequivalent atoms, fractional coordinates:
Tl  0.2500  0.2500  0.2500 (multiplicity 8)  12 F 3.20
Hg  0.0000  0.0000  0.0000 (multiplicity 4)  6 F 2.56
Os  0.0000  0.0000  0.5000 (multiplicity 4)  6 F 1.95
F  0.0000  0.0000  0.2837 (multiplicity 24)  1 Os 1.95

Crystal system = cubic
Total DFT energy (no corrections) = -4.17 eV per atom

# 3
Entry from OQMD: Na3TmF6 after structural relaxation (PBE).

a = 8.3452 Å, b = 8.3452 Å, c = 8.3452 Å
α = 90.00°, β = 90.00°, γ = 90.00°
Closest atoms and distances in Å follow each position.
Space group Fm-3m (No. 225)
Inequivalent atoms, fractional coordinates:
Na  0.0000  0.0000  0.0000 (multiplicity 4)  6 F 2.09
Na  0.2500  0.2500  0.2500 (multiplicity 8)  12 F 2.95
Tm  0.0000  0.0000  0.5000 (multiplicity 4)  6 F 2.08
F  0.0000  0.0000  0.2505 (multiplicity 24)  1 Tm 2.08, 1 Na 2.09

Crystal system = cubic
Total DFT energy (no corrections) = -5.12 eV per atom

# 4
Entry from OQMD: RbPrHg after structural relaxation (PBE).

a = 7.6987 Å, b = 7.6987 Å, c = 7.6987 Å
α = 90.00°, β = 90.00°, γ = 90.00°
Closest atoms and distances in Å follow each position.
Space group F-43m (No. 216)
Inequivalent atoms, fractional coordinates:
Rb  0.0000  0.0000  0.0000 (multiplicity 4)  4 Pr 3.33
Pr  0.2500  0.2500  0.7500 (multiplicity 4)  4 Hg 3.33, 4 Rb 3.33
Hg  0.0000  0.0000  0.5000 (multiplicity 4)  4 Pr 3.33

Crystal system = cubic
Total DFT energy (no corrections) = -1.53 eV per atom

# 5
Entry from OQMD: Cs2K2CdSb2 after structural relaxation (PBE).

a = 6.2360 Å, b = 6.2360 Å, c = 32.1196 Å
α = 90.00°, β = 90.00°, γ = 120.00°
Closest atoms and distances in Å follow each position.
Space group R-3m (No. 166, hexagonal axes)
Inequivalent atoms, fractional coordinates:
Cs  0.0000  0.0000  0.2074 (multiplicity 6)  4 Sb 3.85-3.97
K  0.0000  0.0000  0.3836 (multiplicity 6)  3 Sb 3.76, 3 Cd 3.95
Cd  0.0000  0.0000  0.0000 (multiplicity 3)  2 Sb 2.69
Sb  0.0000  0.0000  0.0837 (multiplicity 6)  1 Cd 2.69

Crystal system = trigonal
Excess energy over the best structure of this formula in the dataset = 0 meV/atom

# 6
Entry from OQMD: Hf4GaGe after structural relaxation (PBE).

a = 6.6590 Å, b = 6.6590 Å, c = 5.3051 Å
α = 90.00°, β = 90.00°, γ = 90.00°
Closest atoms and distances in Å follow each position.
Space group I422 (No. 97)
Inequivalent atoms, fractional coordinates:
Hf  0.1546  0.3454  0.2500 (multiplicity 8)  2 Ga 2.85, 2 Ge 2.85, 1 Hf 2.91
Ga  0.0000  0.0000  0.5000 (multiplicity 2)  2 Ge 2.65, 8 Hf 2.85
Ge  0.0000  0.0000  0.0000 (multiplicity 2)  2 Ga 2.65, 8 Hf 2.85

Crystal system = tetragonal
Total DFT energy (no corrections) = -8.45 eV per atom

# 7
Entry from OQMD: BaNd after structural relaxation (PBE).

a = 3.9477 Å, b = 3.9477 Å, c = 6.5649 Å
α = 90.00°, β = 90.00°, γ = 120.00°
Closest atoms and distances in Å follow each position.
Space group P-6m2 (No. 187)
Inequivalent atoms, fractional coordinates:
Ba  0.0000  0.0000  0.0000 (multiplicity 1)  6 Ba 3.95, 6 Nd 4.00
Nd  0.6667  0.3333  0.5000 (multiplicity 1)  6 Nd 3.95, 6 Ba 4.00

Crystal system = hexagonal
Excess energy over the best structure of this formula in the dataset = 0 meV/atom

# 8
Entry from OQMD: LaEr2In3 after structural relaxation (PBE).

a = 3.7638 Å, b = 3.7638 Å, c = 11.5992 Å
α = 90.00°, β = 90.00°, γ = 90.00°
Closest atoms and distances in Å follow each position.
Space group P4/mmm (No. 123)
Inequivalent atoms, fractional coordinates:
La  0.0000  0.0000  0.0000 (multiplicity 1)  8 In 3.42, 4 La 3.76
Er  0.0000  0.0000  0.3419 (multiplicity 2)  8 In 3.22-3.23
In  0.5000  0.5000  0.1853 (multiplicity 2)  4 Er 3.22, 4 La 3.42
In  0.5000  0.5000  0.5000 (multiplicity 1)  8 Er 3.23

Crystal system = tetragonal
Total DFT energy (no corrections) = -4.18 eV per atom

Copy entry 2 word for word.
Entry from OQMD: Tl2HgOsF6 after structural relaxation (PBE).

a = 9.0220 Å, b = 9.0220 Å, c = 9.0220 Å
α = 90.00°, β = 90.00°, γ = 90.00°
Closest atoms and distances in Å follow each position.
Space group Fm-3m (No. 225)
Inequivalent atoms, fractional coordinates:
Tl  0.2500  0.2500  0.2500 (multiplicity 8)  12 F 3.20
Hg  0.0000  0.0000  0.0000 (multiplicity 4)  6 F 2.56
Os  0.0000  0.0000  0.5000 (multiplicity 4)  6 F 1.95
F  0.0000  0.0000  0.2837 (multiplicity 24)  1 Os 1.95

Crystal system = cubic
Total DFT energy (no corrections) = -4.17 eV per atom